Here is an optimized crystal structure of RbNaHf2Ni from Alexandria via LeMat-Bulk. Energies are from GGA-PBE.

Lattice parameters (Å, degrees): 5.2386 5.2386 4.7064 90.00 90.00 90.00
Closest atoms and distances in Å follow each position.
Space group P4/mmm (No. 123)
Symmetry-distinct sites (fractional):
Rb  0.0000  0.0000  0.0000 (multiplicity 1)  2 Ni 2.35, 4 Hf 2.62
Na  0.5000  0.5000  0.5000 (multiplicity 1)  8 Hf 3.52, 4 Ni 3.70
Hf  0.0000  0.5000  0.0000 (multiplicity 2)  2 Rb 2.62
Ni  0.0000  0.0000  0.5000 (multiplicity 1)  2 Rb 2.35

Crystal system   tetragonal
Density   6.7 g/cm3
E_tot   -3.3591 eV per atom
Total magnetic moment   0.00 μB per atom